[1]
# NaCa2YAu

A relaxed NaCa2YAu crystal (PBE-GGA, Alexandria).

Summary:
magnetic moment: 0.0 Bohr magnetons per cell
crystal system: tetragonal
ΔH_f (0 K): -0.199 eV per atom

```
5
Lattice="-2.983 -0.860 4.920 2.143 -5.397 0.357 4.339 1.919 2.966" Properties=species:S:1:pos:R:3 pbc="T T T"
Y 2.170 0.960 1.483
Na 1.750 -2.168 4.121
Ca 1.072 -2.698 0.178
Ca -1.491 -0.430 2.460
Au 0.000 0.000 0.000
```

[2]
# Al2GeOs

A relaxed Al2GeOs crystal (PBE-GGA, Alexandria).

Summary:
magnetic moment: 0.0 Bohr magnetons per cell
crystal system: tetragonal
ΔH_f (0 K): -0.124 eV per atom

```
4
Lattice="-0.200 -2.742 -1.665 1.954 -1.427 2.115 -4.521 -1.564 3.119" Properties=species:S:1:pos:R:3 pbc="T T T"
Ge 0.877 -2.084 0.225
Os -1.383 -2.867 1.785
Al -3.351 -1.160 2.313
Al -1.169 -0.405 0.807
```

[3]
# Ac2Zn4CdPd3

A relaxed Ac2Zn4CdPd3 crystal (PBE-GGA, Alexandria).

Summary:
magnetic moment: 0.0 Bohr magnetons per cell
crystal system: tetragonal
ΔH_f (0 K): -0.547 eV per atom

```
10
Lattice="4.416 0.000 0.000 0.000 4.416 0.000 0.000 0.000 10.989" Properties=species:S:1:pos:R:3 pbc="T T T"
Ac 2.208 0.000 2.671
Ac 0.000 2.208 8.319
Zn 2.208 2.208 0.000
Zn 0.000 0.000 0.000
Zn 2.208 0.000 7.022
Zn 0.000 2.208 3.967
Cd 2.208 2.208 5.495
Pd 0.000 0.000 5.495
Pd 2.208 0.000 9.598
Pd 0.000 2.208 1.391
```

[4]
# Ge2TeRhCl

A relaxed Ge2TeRhCl crystal (PBE-GGA, Alexandria).

Summary:
magnetic moment: 0.0 Bohr magnetons per cell
ΔE_f (raw): 0.60 eV per atom
excess energy over the best structure of this formula in the dataset: 0.000 eV per atom
crystal system: tetragonal

```
5
Lattice="5.120 0.000 0.000 0.000 4.440 0.000 0.000 0.000 5.120" Properties=species:S:1:pos:R:3 pbc="T T T"
Ge 0.000 0.000 2.560
Ge 2.560 0.000 0.000
Te 2.560 2.220 2.560
Rh 0.000 2.220 0.000
Cl 0.000 0.000 0.000
```

[5]
# PdRuRh2

A relaxed PdRuRh2 crystal (PBE-GGA, Alexandria).

Summary:
magnetic moment: 0.0 Bohr magnetons per cell
excess energy over the best structure of this formula in the dataset: 0.639 eV per atom
crystal system: trigonal
ΔH_f (0 K): 0.659 eV per atom

```
4
Lattice="3.722 0.000 0.000 1.861 3.224 0.000 1.861 1.075 5.685" Properties=species:S:1:pos:R:3 pbc="T T T"
Pd 3.722 2.149 0.018
Ru 3.722 2.149 2.815
Rh 1.861 1.075 4.141
Rh 1.861 1.075 1.553
```

[6]
# Sc2TaTe

A relaxed Sc2TaTe crystal (PBE-GGA, Alexandria).

Summary:
magnetic moment: 0.0 Bohr magnetons per cell
ΔE_f (raw): -0.15 eV per atom
excess energy over the best structure of this formula in the dataset: 0.180 eV per atom
crystal system: monoclinic

```
4
Lattice="-3.678 -2.402 3.122 -1.209 -4.632 2.475 1.903 0.742 4.705" Properties=species:S:1:pos:R:3 pbc="T T T"
Sc -4.799 -6.937 5.598
Sc -2.314 -4.797 7.704
Ta -1.573 -3.246 5.188
Te -0.677 -1.491 2.558
```

[7]
# K2CoP

A relaxed K2CoP crystal (PBE-GGA, Alexandria).

Summary:
magnetic moment: 0.5 Bohr magnetons per cell
crystal system: tetragonal
ΔH_f (0 K): 0.137 eV per atom

```
4
Lattice="-2.441 1.190 -1.710 -0.576 -2.912 -1.205 -6.182 -1.886 7.512" Properties=species:S:1:pos:R:3 pbc="T T T"
Co -5.567 -2.099 3.474
K -5.639 -1.720 6.852
K -3.635 -1.509 1.127
P -3.631 -1.108 4.412
```

[8]
# MgCu2Br

A relaxed MgCu2Br crystal (PBE-GGA, Alexandria).

Summary:
magnetic moment: 0.0 Bohr magnetons per cell
ΔE_f (raw): 0.15 eV per atom
excess energy over the best structure of this formula in the dataset: 0.288 eV per atom
crystal system: tetragonal

```
4
Lattice="-3.585 2.816 -2.927 -2.766 -1.968 1.494 -0.286 2.483 2.741" Properties=species:S:1:pos:R:3 pbc="T T T"
Br -1.936 2.650 -0.093
Cu 0.000 0.000 0.000
Cu -1.526 0.258 2.117
Mg -3.176 0.424 -0.716
```

[9]
# LaNi2Br

A relaxed LaNi2Br crystal (PBE-GGA, Alexandria).

Summary:
magnetic moment: 0.0 Bohr magnetons per cell
ΔE_f (raw): -0.48 eV per atom
excess energy over the best structure of this formula in the dataset: 0.000 eV per atom
crystal system: monoclinic

```
4
Lattice="-2.764 -2.808 -0.904 0.893 -2.945 -2.622 2.223 -3.897 5.041" Properties=species:S:1:pos:R:3 pbc="T T T"
Br -0.063 -5.499 0.301
La -0.138 -2.385 -0.105
Ni 0.249 -9.113 1.252
Ni 0.833 -7.128 2.339
```

[10]
# Ag2RhF5

A relaxed Ag2RhF5 crystal (PBE-GGA, Alexandria).

Summary:
magnetic moment: 0.0 Bohr magnetons per cell
ΔE_f (raw): -1.25 eV per atom
crystal system: orthorhombic

```
16
Lattice="-0.921 3.927 0.375 -1.232 -1.776 -6.301 -9.921 -2.582 2.667" Properties=species:S:1:pos:R:3 pbc="T T T"
Ag -5.660 1.078 -3.313
Ag -2.746 1.837 -4.097
Ag -6.413 -1.510 0.054
Ag -9.328 -2.268 0.838
Rh -9.037 0.152 -1.915
Rh -3.037 -0.584 -1.344
F -10.749 -0.156 -2.893
F -8.065 0.543 -3.614
F -4.760 -0.892 -2.352
F -2.071 -0.192 -3.074
F -3.580 1.389 -1.456
F -8.493 -1.820 -1.803
F -7.313 0.460 -0.907
F -10.002 -0.239 -0.185
F -1.324 -0.276 -0.366
F -4.008 -0.974 0.355
```

[11]
# Pm2GdRh

A relaxed Pm2GdRh crystal (PBE-GGA, Alexandria).

Summary:
magnetic moment: 8.3 Bohr magnetons per cell
excess energy over the best structure of this formula in the dataset: 0.000 eV per atom
crystal system: tetragonal
ΔH_f (0 K): -0.305 eV per atom

```
4
Lattice="-2.643 -0.011 -2.464 -2.269 -1.401 2.440 -2.297 7.952 2.429" Properties=species:S:1:pos:R:3 pbc="T T T"
Gd -3.605 3.271 1.202
Rh -2.456 -0.706 -0.012
Pm -1.859 6.436 1.966
Pm -0.438 1.516 0.463
```